# LiMnAuF6, optimized geometry, DFT GGA+U
# Total magnetization: 0.333 μB/atom
# Energy: -4.63 eV/atom
data_LiMnAuF6
_space_group_name_H-M_alt 'P -3 1 c'
_space_group_IT_number 163
_space_group_name_Hall '-P 3 2c'
_cell_length_a 5.2458
_cell_length_b 5.2458
_cell_length_c 9.7465
_cell_angle_alpha 90.00
_cell_angle_beta 90.00
_cell_angle_gamma 120.00
loop_
_atom_site_label
_atom_site_type_symbol
_atom_site_fract_x
_atom_site_fract_y
_atom_site_fract_z
Li1 Li 0.3333 0.6667 0.2500
Mn1 Mn 0.3333 0.6667 0.7500
Au1 Au 0.0000 0.0000 0.0000
F1 F 0.0152 0.3577 0.6386